Density functional theory data (GGA-PBE) for a relaxed structure of LaNiRu.

Cell lengths 5.159, 5.321, 7.830 Å; angles 90.00, 90.00, 90.00 degrees
Space group Imma (No. 74)
Inequivalent atoms, fractional coordinates:
La 0.000 0.250 0.121 x4
Ni 0.000 0.000 0.500 x4
Ru 0.250 0.250 0.750 x4

Energy of formation   -0.27 eV/atom



Density functional theory data (GGA-PBE) for a relaxed structure of La5NiRu.

Cell lengths 11.927, 11.930, 6.226 Å; angles 90.00, 105.63, 90.00 degrees
Space group C2/c (No. 15)
Inequivalent atoms, fractional coordinates:
La 0.000 0.106 0.250 x4
La 0.068 0.364 0.545 x8
La 0.231 0.115 0.867 x8
Ni 0.250 0.250 0.500 x4
Ru 0.000 0.155 0.750 x4

Energy of formation   -0.11 eV/atom



Density functional theory data (GGA-PBE) for a relaxed structure of LaNiRu3.

Cell lengths 4.729, 4.729, 4.729 Å; angles 90.00, 90.00, 90.00 degrees
Space group Pm-3m (No. 221)
Inequivalent atoms, fractional coordinates:
La 0.000 0.000 0.000 x1
Ni 0.500 0.500 0.500 x1
Ru 0.000 0.000 0.500 x3

Energy of formation   2.16 eV/atom



Density functional theory data (GGA-PBE) for a relaxed structure of LaNiRu.

Cell lengths 9.826, 4.471, 5.221 Å; angles 90.00, 91.42, 90.00 degrees
Space group Cm (No. 8)
Inequivalent atoms, fractional coordinates:
La 0.000 0.000 0.000 x2
La 0.046 0.500 0.495 x2
Ni 0.272 0.000 0.703 x2
Ni 0.317 0.500 0.478 x2
Ru 0.236 0.500 0.955 x2
Ru 0.251 0.000 0.219 x2

Energy of formation   -0.15 eV/atom



| no. | Fermi-level density of states (states/eV per cell) |
| --- | --- |
| 1 | 9.69 |
| 2 | 31.68 |
| 3 | 26.36 |
| 4 | 13.29 |